Entry 1:
# UPdRuRh

A relaxed structure of UPdRuRh (GGA-PBE, Alexandria via LeMat-Bulk).

Values from the calculation:
distance to the lowest polymorph of the same formula: 0 meV/atom
E_form: -497 meV per atom
crystal system: orthorhombic
spin magnetization: 0.0 μB/cell

Unit cell a=3.8523 b=4.0542 c=4.2089 alpha=90.00 beta=90.00 gamma=90.00
Space group Pmmm (No. 47)
One atom of each set of equivalent atoms:
U1 0.0000 0.0000 0.0000
Pd1 0.0000 0.5000 0.5000
Ru1 0.5000 0.5000 0.0000
Rh1 0.5000 0.0000 0.5000


Entry 2:
# Y2HoSc

A relaxed structure of Y2HoSc (GGA-PBE, Alexandria via LeMat-Bulk).

Values from the calculation:
distance to the lowest polymorph of the same formula: 11 meV/atom
E_form: 36 meV per atom
crystal system: trigonal
spin magnetization: 0.0 μB/cell

Unit cell a=3.5169 b=3.5169 c=33.6204 alpha=90.00 beta=90.00 gamma=120.00
Space group R3m (No. 160, hexagonal axes)
One atom of each set of equivalent atoms:
Y1 0.0000 0.0000 0.0000
Y2 0.0000 0.0000 0.1604
Ho1 0.0000 0.0000 0.5799
Sc1 0.0000 0.0000 0.4140


Entry 3:
# Y2ZnHgH

A relaxed structure of Y2ZnHgH (GGA-PBE, Alexandria via LeMat-Bulk).

Values from the calculation:
raw total energy: -3.93 eV/atom
crystal system: tetragonal
spin magnetization: 0.5 μB/cell

Unit cell a=5.0451 b=5.0451 c=3.8667 alpha=90.00 beta=90.00 gamma=90.00
Space group P4/mmm (No. 123)
One atom of each set of equivalent atoms:
Y1 0.0000 0.5000 0.0000
Zn1 0.0000 0.0000 0.5000
Hg1 0.5000 0.5000 0.5000
H1 0.0000 0.0000 0.0000


Entry 4:
# CdCl5

A relaxed structure of CdCl5 (GGA-PBE, Alexandria via LeMat-Bulk).

Values from the calculation:
ΔE_f (raw): 0.02 eV per atom
distance to the lowest polymorph of the same formula: 385 meV/atom
crystal system: hexagonal
spin magnetization: 0.0 μB/cell

Unit cell a=5.1100 b=5.1100 c=8.1598 alpha=90.00 beta=90.00 gamma=120.00
Space group P6/mmm (No. 191)
One atom of each set of equivalent atoms:
Cd1 0.0000 0.0000 0.0000
Cl1 0.0000 0.5000 0.5000
Cl2 0.3333 0.6667 0.0000